A plane-wave DFT calculation with PBE-GGA was carried out for an optimized crystal structure of Y3GeCl3.

The structure in CIF format:
```
data_Y3GeCl3
_chemical_formula_sum 'Y6 Ge2 Cl6'
_cell_length_a 10.8568
_cell_length_b 10.8568
_cell_length_c 10.8568
_cell_angle_alpha 36.89
_cell_angle_beta 36.89
_cell_angle_gamma 36.89
_space_group_name_H-M_alt 'P 1'
_space_group_IT_number 1
loop_
_space_group_symop_operation_xyz
'x,y,z'
loop_
_atom_site_label
_atom_site_fract_x
_atom_site_fract_y
_atom_site_fract_z
_atom_site_occupancy
Y1 0.1112 0.4464 0.7813 1
Y2 0.2187 0.8888 0.5536 1
Y3 0.4464 0.7813 0.1112 1
Y4 0.5536 0.2187 0.8888 1
Y5 0.7813 0.1112 0.4464 1
Y6 0.8888 0.5536 0.2187 1
Ge1 0.1667 0.1667 0.1667 1
Ge2 0.8333 0.8333 0.8333 1
Cl1 0.0604 0.7256 0.3927 1
Cl2 0.2744 0.6073 0.9396 1
Cl3 0.3927 0.0604 0.7256 1
Cl4 0.6073 0.9396 0.2744 1
Cl5 0.7256 0.3927 0.0604 1
Cl6 0.9396 0.2744 0.6073 1
```

Output
Volume = 29.51 A^3/atom
Symmetry = R-3
Formation energy (no corrections) = -153.9 kJ/mol of atoms